Entry 1:
# PBE CsNaGa2Bi2, relaxed
# DOS(E_F) in states/eV/f.u.: 0.8
# Space-group type: P-3m1 (164)
# ΔH_f (0 K) in eV per atom: -0.2653
# M_tot in μB per cell: 0.000
data_CsNaGa2Bi2
_chemical_formula_sum 'Cs1 Na1 Ga2 Bi2'
_space_group_name_H-M_alt 'P 1'
_space_group_IT_number 1
_cell_length_a 5.1632
_cell_length_b 5.1632
_cell_length_c 8.9327
_cell_angle_alpha 90.00
_cell_angle_beta 90.00
_cell_angle_gamma 120.00
loop_
_space_group_symop_operation_xyz
'x,y,z'
loop_
_atom_site_label
_atom_site_type_symbol
_atom_site_fract_x
_atom_site_fract_y
_atom_site_fract_z
_atom_site_occupancy
Cs1 Cs 0.0000 0.0000 0.0000 1
Bi1 Bi 0.3333 0.6667 0.2971 1
Ga1 Ga 0.3333 0.6667 0.6253 1
Ga2 Ga 0.6667 0.3333 0.3747 1
Bi2 Bi 0.6667 0.3333 0.7029 1
Na1 Na 0.0000 0.0000 0.5000 1

Entry 2:
# PBE CsNbGaBi2, relaxed
# DOS(E_F) in states/eV/f.u.: 3.2
# Space-group type: P4/mmm (123)
# ΔH_f (0 K) in eV per atom: 0.6401
# M_tot in μB per cell: 2.647
data_CsNbGaBi2
_chemical_formula_sum 'Cs1 Nb1 Ga1 Bi2'
_space_group_name_H-M_alt 'P 1'
_space_group_IT_number 1
_cell_length_a 5.7512
_cell_length_b 5.2480
_cell_length_c 5.7512
_cell_angle_alpha 90.00
_cell_angle_beta 90.00
_cell_angle_gamma 90.00
loop_
_space_group_symop_operation_xyz
'x,y,z'
loop_
_atom_site_label
_atom_site_type_symbol
_atom_site_fract_x
_atom_site_fract_y
_atom_site_fract_z
_atom_site_occupancy
Bi1 Bi 0.0000 0.0000 0.5000 1
Ga1 Ga 0.0000 0.0000 0.0000 1
Nb1 Nb 0.0000 0.5000 0.0000 1
Cs1 Cs 0.5000 0.5000 0.5000 1
Bi2 Bi 0.5000 0.0000 0.0000 1